KMgGaSn2 | GGA-PBEsol | relaxed

abc: 5.2968 5.4368 5.4368
angles: 90.00 90.00 90.00
Last column: nearest neighbours and their distance in Å.
Fractional coordinates of all 5 atoms:
1 Ga 0.5000 0.0000 0.0000  2 Mg 2.65
2 Mg 0.0000 0.0000 0.0000  2 Ga 2.65, 4 Sn 2.72
3 Sn 0.0000 0.5000 0.0000  2 Mg 2.72
4 Sn 0.0000 0.0000 0.5000  2 Mg 2.72
5 K 0.5000 0.5000 0.5000  8 Sn 3.80, 4 Ga 3.84

Results
- Calculated volume: 31.31 A^3/atom
- Total magnetization: 0.00 μB per formula unit
- DFT formation energy: 1.077 eV/f.u.
- Mass density: 3930 kg/m3